## Tb2Dy6Ga (GGA-PBE)

Data for a geometry-optimized Tb2Dy6Ga structure.

Calculated values
Space-group type: Cmmm (65)
DOS at the Fermi energy, states/eV per cell: 11.8
Mass density, g cm⁻³: 8.1
E_tot, eV/atom: -4.411
Formation energy, kJ/mol of formula units: 20

```
Tb2Dy6Ga
1.0
4.611 -8.569 0.000
4.611 8.569 0.000
0.000 0.000 3.518
Tb Dy Ga
2 6 1
Cartesian
4.611 5.526 0.000 Tb
4.611 -5.526 0.000 Tb
3.026 2.777 1.759 Dy
2.009 0.000 0.000 Dy
3.026 -2.777 1.759 Dy
6.195 2.777 1.759 Dy
7.213 0.000 0.000 Dy
6.195 -2.777 1.759 Dy
4.611 0.000 1.759 Ga
```